First-principles (PBE) data for an optimized crystal structure of NdZnNO, as listed in OQMD via LeMat-Bulk.

Properties
size of the total moment = 0.000 μB/atom
distance to the lowest polymorph of the same formula = 95 meV/atom
volume = 115 Å³/cell
space group = Pmc2_1, No. 26

```
8
Lattice="3.465 0.000 0.000 0.000 5.662 0.000 0.000 0.000 5.850" Properties=species:S:1:pos:R:3 pbc="T T T"
Nd 0.000 1.153 0.000
Nd 0.000 4.509 2.925
Zn 1.732 1.388 3.075
Zn 1.732 4.274 0.150
N 1.732 0.265 1.447
N 1.732 5.397 4.372
O 0.000 2.286 3.637
O 0.000 3.376 0.713
```